Below is a crystal of CdRuSeBr2 relaxed with PBEsol, with properties calculated at the meta-GGA SCAN level.

Cell and atoms, written as POSCAR:
```
CdRuSeBr2
1.0
5.2063 0.0000 0.0000
0.0000 5.2063 0.0000
0.0000 0.0000 5.2384
Ru Br Cd Se
1 2 1 1
Direct
0.5000 0.5000 0.5000
0.5000 0.0000 0.0000
0.0000 0.5000 0.0000
0.0000 0.0000 0.0000
0.0000 0.0000 0.5000
```

Values from the calculation:
Spin magnetization: 0.764 μB/atom
SG: P4/mmm, No. 123
Uncorrected formation energy: 679 meV/atom